Material: PmInNi
Method: DFT, PBE-GGA
State: relaxed

```
3
Lattice="3.764 0.000 0.000 0.000 4.565 0.000 0.000 -2.283 3.953" Properties=species:S:1:pos:R:3 pbc="T T T"
In 0.627 0.000 2.636
Pm 2.509 2.283 1.318
Ni 0.628 0.000 0.000
```

## Properties
* raw total energy: -4.77 eV/atom
* crystal system: hexagonal
* E_form: -0.348 eV per atom

Material: AlCr3B4
Method: DFT, PBE-GGA
State: relaxed

```
8
Lattice="-0.386 -0.982 2.741 2.320 -1.771 -0.308 4.833 5.850 2.777" Properties=species:S:1:pos:R:3 pbc="T T T"
Cr 1.160 -0.885 -0.154
B 4.723 3.171 3.375
B 2.044 -0.073 1.835
Cr 1.439 1.742 0.827
Al 3.384 1.549 2.605
B 0.328 0.139 1.670
B 4.119 4.729 3.849
Cr 3.394 4.108 1.950
```

## Properties
* raw total energy: -7.87 eV/atom
* crystal system: orthorhombic
* E_form: -0.457 eV per atom